(1)
Compound: TePtCl2
Source: the Alexandria database
Functional: SCAN
Structure: PBEsol geometry

It has space group Cmmm (No. 65), with a = 5.7354 Å, b = 9.6732 Å, c = 3.3354 Å, α = 90.00°, β = 90.00° and γ = 90.00°. The asymmetric unit holds Te at (0.0000, 0.0000, 0.0000), Pt at (0.0000, 0.5000, 0.0000) and Cl at (0.0000, 0.3315, 0.5000).

For the density of states at the Fermi level, the calculation gives 1.49 states/eV/f.u. The calculation puts the theoretical density at 7.064 g cm⁻³. As for the crystal system: orthorhombic. The calculation puts the formation energy from raw total energies at -0.209 eV per atom.

***

(2)
Compound: Te4PtCl
Source: the Alexandria database
Functional: SCAN
Structure: PBEsol geometry

It has space group F-43m (No. 216), with a = 8.5251 Å, b = 8.5251 Å, c = 8.5251 Å, α = 90.00°, β = 90.00° and γ = 90.00°. The asymmetric unit holds Te at (0.1246, 0.1246, 0.1246), Pt at (0.2500, 0.2500, 0.7500) and Cl at (0.0000, 0.0000, 0.5000).

For the density of states at the Fermi level, the calculation gives 3.49 states/eV/f.u. The calculation puts the theoretical density at 7.943 g cm⁻³. As for the crystal system: cubic. The calculation puts the formation energy from raw total energies at 0.649 eV per atom.